First-principles (PBE) data for a relaxed structure of RbNbSe2I, as listed in Alexandria via LeMat-Bulk.

Cell: 5.6190 6.1793 5.6190 Å, 90.00 90.00 90.00°
Last column: nearest neighbours and their distance in Å.
Atoms (fractional coordinates):
I 0.0000 0.0000 0.0000  4 Se 2.81, 2 Rb 3.09
Nb 0.5000 0.5000 0.5000  4 Rb 3.97, 8 Se 4.18
Se 0.0000 0.0000 0.5000  2 I 2.81
Se 0.5000 0.0000 0.0000  2 I 2.81
Rb 0.0000 0.5000 0.0000  2 I 3.09

space-group type = P4/mmm
N(E_F) = 8.2 states/eV per cell
uncorrected formation energy = 6.65 eV per formula unit